KInAs: optimized geometry, PBE.

Computed properties:
As for the density: 3.91 g/cm3. The calculation puts the energy relative to the elements at -0.366 eV/atom. As for the space group: P2_1/c, No. 14. The calculation puts the electronic total energy at -38.3 eV/cell.

```
KInAs
1.0
6.009 0.000 0.000
0.000 8.010 -0.344
0.000 -0.364 8.091
K In As
4 4 4
Direct
0.041 0.646 0.222
0.459 0.646 0.722
0.959 0.354 0.778
0.541 0.354 0.278
0.792 0.960 0.573
0.708 0.960 0.073
0.208 0.040 0.427
0.292 0.040 0.927
0.468 0.208 0.665
0.968 0.792 0.835
0.532 0.792 0.335
0.032 0.208 0.165
```